Arrangement w

A geometry-optimized PmNbO structure, computed with GGA-PBE.

Properties
The total magnetic moment comes out at 0.005 μB/atom.

Cell and atoms, written as CIF:
```
data_PmNbO
_chemical_formula_sum 'Pm1 Nb1 O1'
_cell_length_a 3.1484
_cell_length_b 3.1484
_cell_length_c 5.0514
_cell_angle_alpha 90.00
_cell_angle_beta 90.00
_cell_angle_gamma 90.00
_symmetry_space_group_name_H-M 'P 1'
_symmetry_Int_Tables_number 1
_symmetry_space_group_name_Hall 'P 1'
loop_
_atom_site_label
_atom_site_type_symbol
_atom_site_fract_x
_atom_site_fract_y
_atom_site_fract_z
Pm1 Pm 0.5000 0.5000 0.5000
O1 O 0.5000 0.5000 0.0000
Nb1 Nb 0.0000 0.0000 0.0000
```


Arrangement x

A geometry-optimized PmNbO structure, computed with GGA-PBE.

Properties
The total magnetic moment comes out at 0.000 μB/atom.

Cell and atoms, written as CIF:
```
data_PmNbO
_chemical_formula_sum 'Pm1 Nb1 O1'
_cell_length_a 4.1896
_cell_length_b 4.1896
_cell_length_c 4.1896
_cell_angle_alpha 60.00
_cell_angle_beta 60.00
_cell_angle_gamma 60.00
_symmetry_space_group_name_H-M 'P 1'
_symmetry_Int_Tables_number 1
_symmetry_space_group_name_Hall 'P 1'
loop_
_atom_site_label
_atom_site_type_symbol
_atom_site_fract_x
_atom_site_fract_y
_atom_site_fract_z
O1 O 0.5000 0.5000 0.5000
Pm1 Pm 0.7500 0.7500 0.7500
Nb1 Nb 0.2500 0.2500 0.2500
```


Most favorable first, least favorable last: arrangement w, arrangement x